No. 1
# Tb2Y6Tl

A relaxed structure of Tb2Y6Tl (PBE, Alexandria).

```
data_Tb2Y6Tl
_chemical_formula_sum 'Tb2 Y6 Tl1'
_cell_length_a 9.4475
_cell_length_b 9.4475
_cell_length_c 3.6561
_cell_angle_alpha 90.00
_cell_angle_beta 90.00
_cell_angle_gamma 120.00
_space_group_name_H-M_alt 'P -6 2 m'
_space_group_IT_number 189
_space_group_name_Hall 'P -6 -2'
loop_
_atom_site_label
_atom_site_fract_x
_atom_site_fract_y
_atom_site_fract_z
Tb1 0.3333 0.6667 0.0000
Y1 0.0000 0.3791 0.5000
Y2 0.0000 0.7211 0.0000
Tl1 0.0000 0.0000 0.5000
```

Output
D(E_F)	9.7	states/eV per cell
energy above the most stable polymorph in this dataset	0.000	eV/atom
crystal system	hexagonal
final energy	-5.71	eV per atom
energy of formation from the pure elements	-104	meV/atom

---

No. 2
# TbY14Tl

A relaxed structure of TbY14Tl (PBE, Alexandria).

```
data_TbY14Tl
_chemical_formula_sum 'Tb2 Y28 Tl2'
_cell_length_a 10.902
_cell_length_b 8.459
_cell_length_c 11.046
_cell_angle_alpha 90.00
_cell_angle_beta 90.00
_cell_angle_gamma 90.00
_space_group_name_H-M_alt 'A m m 2'
_space_group_IT_number 38
_space_group_name_Hall 'A 2 -2'
loop_
_atom_site_label
_atom_site_fract_x
_atom_site_fract_y
_atom_site_fract_z
Tb1 0.000 0.000 0.000
Y1 0.000 0.206 0.270
Y2 0.222 0.000 0.768
Y3 0.242 0.208 0.486
Y4 0.274 0.000 0.205
Y5 0.500 0.000 0.427
Y6 0.500 0.000 0.978
Y7 0.500 0.201 0.707
Tl1 0.000 0.000 0.553
```

Output
D(E_F)	50.2	states/eV per cell
crystal system	orthorhombic
final energy	-6.10	eV per atom
energy of formation from the pure elements	-10	meV/atom

---

No. 3
# TbY2Tl4

A relaxed structure of TbY2Tl4 (PBE, Alexandria).

```
data_TbY2Tl4
_chemical_formula_sum 'Tb2 Y4 Tl8'
_cell_length_a 7.505
_cell_length_b 7.505
_cell_length_c 7.490
_cell_angle_alpha 90.00
_cell_angle_beta 90.00
_cell_angle_gamma 90.00
_space_group_name_H-M_alt 'I 4/m m m'
_space_group_IT_number 139
_space_group_name_Hall '-I 4 2'
loop_
_atom_site_label
_atom_site_fract_x
_atom_site_fract_y
_atom_site_fract_z
Tb1 0.000 0.000 0.000
Y1 0.000 0.500 0.000
Tl1 0.250 0.250 0.250
```

Output
D(E_F)	13.0	states/eV per cell
crystal system	tetragonal
final energy	-4.11	eV per atom
energy of formation from the pure elements	-247	meV/atom

---

No. 4
# Tb2Y6Tl

A relaxed structure of Tb2Y6Tl (PBE, Alexandria).

```
data_Tb2Y6Tl
_chemical_formula_sum 'Tb4 Y12 Tl2'
_cell_length_a 9.966
_cell_length_b 10.399
_cell_length_c 5.455
_cell_angle_alpha 90.00
_cell_angle_beta 90.00
_cell_angle_gamma 90.00
_space_group_name_H-M_alt 'P n n m'
_space_group_IT_number 58
_space_group_name_Hall '-P 2 2n'
loop_
_atom_site_label
_atom_site_fract_x
_atom_site_fract_y
_atom_site_fract_z
Tb1 0.193 0.237 0.000
Y1 0.020 0.320 0.500
Y2 0.140 0.889 0.000
Y3 0.179 0.564 0.000
Tl1 0.000 0.000 0.500
```

Output
D(E_F)	29.1	states/eV per cell
energy above the most stable polymorph in this dataset	0.086	eV/atom
crystal system	orthorhombic
final energy	-5.62	eV per atom
energy of formation from the pure elements	-18	meV/atom

---

No. 5
# Tb2Y8Tl

A relaxed structure of Tb2Y8Tl (PBE, Alexandria).

```
data_Tb2Y8Tl
_chemical_formula_sum 'Tb4 Y16 Tl2'
_cell_length_a 18.060
_cell_length_b 4.981
_cell_length_c 7.926
_cell_angle_alpha 90.00
_cell_angle_beta 105.61
_cell_angle_gamma 90.00
_space_group_name_H-M_alt 'C 1 2/m 1'
_space_group_IT_number 12
_space_group_name_Hall '-C 2y'
loop_
_atom_site_label
_atom_site_fract_x
_atom_site_fract_y
_atom_site_fract_z
Tb1 0.223 0.000 0.134
Y1 0.045 0.000 0.223
Y2 0.091 0.500 0.944
Y3 0.135 0.000 0.677
Y4 0.181 0.500 0.411
Tl1 0.000 0.500 0.500
```

Output
D(E_F)	34.1	states/eV per cell
energy above the most stable polymorph in this dataset	0.005	eV/atom
crystal system	monoclinic
final energy	-5.79	eV per atom
energy of formation from the pure elements	-35	meV/atom

---

No. 6
# Tb5Y4Tl

A relaxed structure of Tb5Y4Tl (PBE, Alexandria).

```
data_Tb5Y4Tl
_chemical_formula_sum 'Tb10 Y8 Tl2'
_cell_length_a 10.629
_cell_length_b 10.629
_cell_length_c 5.844
_cell_angle_alpha 90.00
_cell_angle_beta 90.00
_cell_angle_gamma 90.00
_space_group_name_H-M_alt 'I 4 m m'
_space_group_IT_number 107
_space_group_name_Hall 'I 4 -2'
loop_
_atom_site_label
_atom_site_fract_x
_atom_site_fract_y
_atom_site_fract_z
Tb1 0.000 0.000 0.000
Tb2 0.186 0.186 0.289
Y1 0.000 0.316 0.798
Tl1 0.000 0.000 0.520
```

Output
D(E_F)	28.4	states/eV per cell
energy above the most stable polymorph in this dataset	0.095	eV/atom
crystal system	tetragonal
final energy	-5.01	eV per atom
energy of formation from the pure elements	128	meV/atom

---

Q: Among the records above, which one has the highest D(E_F)?
A: TbY14Tl

---

Q: The highest final energy belongs to which entry?
A: TbY2Tl4

---

Q: Which formula does entry 6 have?
A: Tb5Y4Tl